First-principles (PBE+U) data for an optimized crystal structure of PmMnTeO6, as listed in Alexandria via LeMat-Bulk.

```
18
Lattice="5.1735 0.0000 0.0000 -2.5867 4.4803 0.0000 0.0000 0.0000 10.1722" Properties=species:S:1:pos:R:3 pbc="T T T"
Pm 0.0000 0.0000 0.0000
Pm 0.0000 0.0000 5.0861
Mn 0.0000 2.9869 2.5430
Mn 2.5867 1.4934 7.6291
Te 2.5867 1.4934 2.5430
Te 0.0000 2.9869 7.6291
O 1.6468 2.8155 1.4485
O 4.2017 1.6464 1.4485
O -0.6750 4.4620 6.5346
O -1.6149 2.8339 8.7236
O 0.9718 1.6464 3.6376
O 3.5267 2.8155 3.6376
O 0.6750 4.4620 8.7236
O 3.2617 0.0184 3.6376
O -0.9400 1.6648 6.5346
O 1.9118 0.0184 1.4485
O 1.6149 2.8339 6.5346
O 0.9400 1.6648 8.7236
```

Values from the calculation:
volume: 117.89 Å³/f.u.
total moment: 0.222 μB/atom
electronic total energy: -6.830 eV/atom